Computed, not measured: ScInHgSe3 after structural relaxation at the GGA-PBE level of DFT.

The value obtained for the calculated density is 6.164 g/cm³. The crystal system is orthorhombic. The electronic total energy comes out at -4.13 eV per atom. The space group is Cmcm.

abc: 3.9662 7.8116 10.7373
angles: 90.00 90.00 75.29
Fractional coordinates of all 12 atoms:
Sc 0.0000 0.0000 0.5000
Se 0.6222 0.7557 0.4784
Se 0.3778 0.2443 0.9784
Se 0.9602 0.0797 0.2500
Sc 0.0000 0.0000 0.0000
In 0.6674 0.6653 0.7500
Se 0.6222 0.7557 0.0216
In 0.3326 0.3347 0.2500
Hg 0.3184 0.3632 0.7500
Hg 0.6816 0.6368 0.2500
Se 0.3778 0.2443 0.5216
Se 0.0398 0.9203 0.7500



Computed, not measured: Gd2Al10Si2Au5 after structural relaxation at the GGA-PBE level of DFT.

The value obtained for the calculated density is 7.537 g/cm³. The crystal system is tetragonal. The electronic total energy comes out at -4.41 eV per atom. The space group is I4/mmm.

abc: 4.2831 4.2831 19.7519
angles: 96.22 96.22 90.00
Fractional coordinates of all 19 atoms:
Al 0.1741 0.6741 0.3483
Al 0.4614 0.9614 0.9229
Al 0.0386 0.5386 0.0771
Al 0.9614 0.4614 0.9229
Gd 0.1103 0.1103 0.2207
Au 0.4248 0.4248 0.8497
Gd 0.8897 0.8897 0.7793
Au 0.5752 0.5752 0.1503
Al 0.7500 0.2500 0.5000
Al 0.3259 0.8259 0.6517
Al 0.6741 0.1741 0.3483
Si 0.6370 0.6370 0.2740
Si 0.3630 0.3630 0.7260
Al 0.8259 0.3259 0.6517
Au 0.2117 0.2117 0.4234
Au 0.0000 0.0000 0.0000
Al 0.5386 0.0386 0.0771
Au 0.7883 0.7883 0.5766
Al 0.2500 0.7500 0.5000



Computed, not measured: ZnSiO3 after structural relaxation at the GGA-PBE level of DFT.

The value obtained for the calculated density is 4.406 g/cm³. The crystal system is monoclinic. The electronic total energy comes out at -6.51 eV per atom. The space group is P2_1/c.

abc: 9.6592 8.9715 5.2231
angles: 90.00 109.53 90.00
Fractional coordinates of all 40 atoms:
Zn 0.2550 0.0035 0.2211
Zn 0.7450 0.5035 0.2789
O 0.8806 0.0028 0.1620
O 0.6224 0.1626 0.8710
O 0.3921 0.1972 0.0303
Si 0.5569 0.6661 0.7398
Si 0.4431 0.3339 0.2602
O 0.1104 0.2649 0.5995
O 0.8896 0.7649 0.9005
O 0.8678 0.1639 0.6768
O 0.8678 0.3361 0.1768
O 0.6352 0.5171 0.8925
O 0.8806 0.4972 0.6620
O 0.3776 0.8374 0.1290
Zn 0.2512 0.6512 0.2251
O 0.3648 0.0171 0.6075
O 0.1322 0.6639 0.8232
Si 0.0464 0.3391 0.2930
O 0.6352 0.9829 0.3925
O 0.1104 0.2351 0.0995
Si 0.9536 0.6609 0.7070
Si 0.5569 0.8339 0.2398
Si 0.4431 0.1661 0.7602
O 0.6079 0.8028 0.9697
O 0.1194 0.9972 0.8380
O 0.8896 0.7351 0.4005
O 0.3920 0.3028 0.5303
Si 0.0464 0.1609 0.7930
Si 0.9536 0.8391 0.2070
Zn 0.7488 0.1512 0.2749
O 0.3776 0.6626 0.6290
Zn 0.7450 0.9965 0.7789
Zn 0.7488 0.3488 0.7749
O 0.1322 0.8361 0.3232
O 0.1194 0.5028 0.3380
O 0.6224 0.3374 0.3710
O 0.6080 0.6972 0.4697
Zn 0.2512 0.8488 0.7251
Zn 0.2550 0.4965 0.7211
O 0.3648 0.4829 0.1075



Computed, not measured: SrErFe after structural relaxation at the GGA-PBE level of DFT.

The value obtained for the calculated density is 5.707 g/cm³. The crystal system is cubic. The electronic total energy comes out at -3.69 eV per atom. The space group is F-43m.

abc: 5.0378 5.0378 5.0378
angles: 60.00 60.00 60.00
Fractional coordinates of all 3 atoms:
Sr 0.7500 0.7500 0.7500
Fe 0.2500 0.2500 0.2500
Er 0.0000 0.0000 0.0000



Computed, not measured: Nd2In after structural relaxation at the GGA-PBE level of DFT.

The value obtained for the calculated density is 7.143 g/cm³. The crystal system is orthorhombic. The electronic total energy comes out at -4.44 eV per atom. The space group is Pnma.

abc: 6.8919 5.3658 10.1417
angles: 90.00 90.00 90.00
Fractional coordinates of all 12 atoms:
Nd 0.1921 0.2500 0.0724
In 0.2873 0.7500 0.8943
Nd 0.6921 0.2500 0.4276
In 0.7873 0.7500 0.6057
Nd 0.0334 0.2500 0.7092
Nd 0.4666 0.7500 0.2092
Nd 0.8079 0.7500 0.9276
In 0.2127 0.2500 0.3943
Nd 0.3079 0.7500 0.5724
In 0.7127 0.2500 0.1057
Nd 0.5334 0.2500 0.7908
Nd 0.9666 0.7500 0.2908



Computed, not measured: CsAgIBr2 after structural relaxation at the GGA-PBE level of DFT.

The value obtained for the calculated density is 4.973 g/cm³. The crystal system is tetragonal. The electronic total energy comes out at -2.54 eV per atom. The space group is I4/mmm.

abc: 7.9826 7.9826 7.9826
angles: 121.30 121.30 87.76
Fractional coordinates of all 10 atoms:
Ag 0.5000 0.5000 0.0000
Br 0.7554 0.7554 0.5108
Br 0.7554 0.2446 0.0000
Cs 0.7500 0.2500 0.5000
I 0.2588 0.2588 0.0000
Br 0.2446 0.7554 0.0000
Cs 0.2500 0.7500 0.5000
Ag 0.0000 0.0000 0.0000
Br 0.2446 0.2446 0.4892
I 0.7412 0.7412 0.0000



Computed, not measured: Na2Pd2O5 after structural relaxation at the GGA-PBE level of DFT.

The value obtained for the calculated density is 4.797 g/cm³. The crystal system is tetragonal. The electronic total energy comes out at -4.75 eV per atom. The space group is P4/mmm.

abc: 8.0217 3.8237 3.8237
angles: 90.00 90.00 90.00
Fractional coordinates of all 9 atoms:
Pd 0.7508 0.5000 0.5000
Na 0.5000 0.0000 0.0000
O 0.1923 0.0000 0.5000
O 0.8077 0.0000 0.5000
O 0.5000 0.5000 0.5000
Na 0.0000 0.0000 0.0000
Pd 0.2492 0.5000 0.5000
O 0.8077 0.5000 0.0000
O 0.1923 0.5000 0.0000



Computed, not measured: NdInAu after structural relaxation at the GGA-PBE level of DFT.

The value obtained for the calculated density is 10.200 g/cm³. The crystal system is hexagonal. The electronic total energy comes out at -4.15 eV per atom. The space group is P-62m.

abc: 7.4387 7.4387 4.6475
angles: 90.00 90.00 120.00
Fractional coordinates of all 9 atoms:
Au 0.7570 0.7570 0.0000
Nd 0.0000 0.5708 0.5000
Nd 0.4292 0.4292 0.5000
In 0.3333 0.6667 0.0000
In 0.6667 0.3333 0.0000
Nd 0.5708 0.0000 0.5000
Au 0.2430 0.0000 0.0000
Au 0.0000 0.2430 0.0000
In 0.0000 0.0000 0.5000



Computed, not measured: CoNiBiW after structural relaxation at the GGA-PBE level of DFT.

The value obtained for the calculated density is 13.849 g/cm³. The crystal system is cubic. The electronic total energy comes out at -6.74 eV per atom. The space group is F-43m.

abc: 4.4235 4.4235 4.4235
angles: 60.00 60.00 60.00
Fractional coordinates of all 4 atoms:
Ni 0.2500 0.2500 0.2500
Bi 0.0000 0.0000 0.0000
Co 0.7500 0.7500 0.7500
W 0.5000 0.5000 0.5000



Computed, not measured: ZnSnPd2 after structural relaxation at the GGA-PBE level of DFT.

The value obtained for the calculated density is 9.799 g/cm³. The crystal system is cubic. The electronic total energy comes out at -4.21 eV per atom. The space group is F-43m.

abc: 4.5650 4.5650 4.5650
angles: 60.00 60.00 60.00
Fractional coordinates of all 4 atoms:
Sn 0.5000 0.5000 0.5000
Pd 0.7500 0.7500 0.7500
Pd 0.0000 0.0000 0.0000
Zn 0.2500 0.2500 0.2500



Computed, not measured: LuInSn after structural relaxation at the GGA-PBE level of DFT.

The value obtained for the calculated density is 7.486 g/cm³. The crystal system is cubic. The electronic total energy comes out at -3.80 eV per atom. The space group is F-43m.

abc: 5.0415 5.0415 5.0415
angles: 60.00 60.00 60.00
Fractional coordinates of all 3 atoms:
In 0.5000 0.5000 0.5000
Lu 0.0000 0.0000 0.0000
Sn 0.2500 0.2500 0.2500



Computed, not measured: LuSnB after structural relaxation at the GGA-PBE level of DFT.

The value obtained for the calculated density is 8.881 g/cm³. The crystal system is cubic. The electronic total energy comes out at -4.87 eV per atom. The space group is F-43m.

abc: 4.3181 4.3181 4.3181
angles: 60.00 60.00 60.00
Fractional coordinates of all 3 atoms:
Sn 0.7500 0.7500 0.7500
Lu 0.2500 0.2500 0.2500
B 0.0000 0.0000 0.0000



Computed, not measured: CuNiBW after structural relaxation at the GGA-PBE level of DFT.

The value obtained for the calculated density is 11.383 g/cm³. The crystal system is cubic. The electronic total energy comes out at -6.46 eV per atom. The space group is F-43m.

abc: 4.0284 4.0284 4.0284
angles: 60.00 60.00 60.00
Fractional coordinates of all 4 atoms:
W 0.5000 0.5000 0.5000
B 0.0000 0.0000 0.0000
Ni 0.2500 0.2500 0.2500
Cu 0.7500 0.7500 0.7500



Computed, not measured: Pr2NdIn3IrAu2 after structural relaxation at the GGA-PBE level of DFT.

The value obtained for the calculated density is 10.258 g/cm³. The crystal system is orthorhombic. The electronic total energy comes out at -4.92 eV per atom. The space group is Amm2.

abc: 4.1275 7.8396 7.8396
angles: 120.03 90.00 90.00
Fractional coordinates of all 9 atoms:
Nd 0.0000 0.5999 0.5999
Pr 0.0000 0.4010 0.0000
Au 0.5000 0.3347 0.6661
Pr 0.0000 0.0000 0.4010
In 0.5000 0.2455 0.2455
In 0.5000 0.7545 0.9995
Ir 0.0000 0.9988 0.9988
In 0.5000 0.9995 0.7545
Au 0.5000 0.6661 0.3347



Computed, not measured: Lu5Pd2 after structural relaxation at the GGA-PBE level of DFT.

The value obtained for the calculated density is 10.199 g/cm³. The crystal system is monoclinic. The electronic total energy comes out at -5.28 eV per atom. The space group is C2/c.

abc: 8.6644 8.6644 6.9391
angles: 96.42 96.42 43.22
Fractional coordinates of all 14 atoms:
Lu 0.2116 0.3461 0.6914
Pd 0.5937 0.1849 0.9315
Lu 0.3461 0.2116 0.1914
Pd 0.8151 0.4063 0.5685
Lu 0.4294 0.5706 0.7500
Lu 0.7884 0.6539 0.3086
Pd 0.1849 0.5937 0.4315
Lu 0.7892 0.0201 0.5718
Lu 0.6539 0.7884 0.8086
Pd 0.4063 0.8151 0.0685
Lu 0.2108 0.9799 0.4282
Lu 0.5706 0.4294 0.2500
Lu 0.0201 0.7892 0.0718
Lu 0.9799 0.2108 0.9282



Computed, not measured: KOsSO after structural relaxation at the GGA-PBE level of DFT.

The value obtained for the calculated density is 7.619 g/cm³. The crystal system is tetragonal. The electronic total energy comes out at -4.89 eV per atom. The space group is P4/nmm.

abc: 3.6940 3.6940 8.8603
angles: 90.00 90.00 90.00
Fractional coordinates of all 8 atoms:
Os 0.2500 0.2500 0.1346
K 0.2500 0.7500 0.5000
Os 0.7500 0.7500 0.8654
S 0.2500 0.2500 0.7593
K 0.7500 0.2500 0.5000
S 0.7500 0.7500 0.2407
O 0.7500 0.2500 0.0000
O 0.2500 0.7500 0.0000



Computed, not measured: LaNdBe after structural relaxation at the GGA-PBE level of DFT.

The value obtained for the calculated density is 5.790 g/cm³. The crystal system is cubic. The electronic total energy comes out at -3.66 eV per atom. The space group is F-43m.

abc: 4.9118 4.9118 4.9118
angles: 60.00 60.00 60.00
Fractional coordinates of all 3 atoms:
La 0.0000 0.0000 0.0000
Be 0.2500 0.2500 0.2500
Nd 0.7500 0.7500 0.7500



Computed, not measured: YTmNO after structural relaxation at the GGA-PBE level of DFT.

The value obtained for the calculated density is 7.366 g/cm³. The crystal system is orthorhombic. The electronic total energy comes out at -8.29 eV per atom. The space group is Pmma.

abc: 3.9311 4.8163 6.8542
angles: 90.00 90.00 90.00
Fractional coordinates of all 8 atoms:
Tm 0.5000 0.4385 0.8315
N 0.0000 0.4383 0.6716
Y 0.0000 0.4384 0.3368
O 0.5000 0.4388 0.1597
N 0.0000 0.9383 0.3284
Y 0.0000 0.9384 0.6632
O 0.5000 0.9388 0.8403
Tm 0.5000 0.9385 0.1685



Computed, not measured: CdBi2O4 after structural relaxation at the GGA-PBE level of DFT.

The value obtained for the calculated density is 8.239 g/cm³. The crystal system is tetragonal. The electronic total energy comes out at -5.27 eV per atom. The space group is I4_1/amd.

abc: 9.3398 11.1542 11.1542
angles: 100.10 65.25 114.75
Fractional coordinates of all 56 atoms:
Cd 0.5000 0.8910 0.8910
Cd 0.5000 0.1090 0.1090
Bi 0.7781 0.0562 0.2500
O 0.6733 0.9767 0.0233
Cd 0.0000 0.3910 0.3910
O 0.0184 0.5368 0.2500
O 0.4647 0.2960 0.0996
O 0.3314 0.5996 0.7040
O 0.8034 0.5233 0.0233
Bi 0.5281 0.5562 0.7500
Bi 0.1726 0.3884 0.6116
O 0.7684 0.2500 0.9632
Bi 0.4719 0.7500 0.5562
Bi 0.7781 0.7500 0.9438
Bi 0.7158 0.1116 0.6116
O 0.1966 0.0233 0.5233
O 0.1966 0.4767 0.9767
Bi 0.1041 0.8884 0.1116
O 0.5353 0.0996 0.2960
Bi 0.2842 0.6116 0.1116
Cd 0.0000 0.6090 0.6090
O 0.9816 0.4632 0.7500
O 0.2318 0.7960 0.5996
Bi 0.2219 0.9438 0.7500
Bi 0.8274 0.6116 0.3884
Bi 0.2842 0.8884 0.3884
Bi 0.7158 0.3884 0.8884
O 0.0643 0.0996 0.2040
Cd 0.1090 0.1090 0.3910
O 0.4647 0.9004 0.7040
O 0.0643 0.7960 0.9004
O 0.0184 0.7500 0.4632
O 0.9357 0.9004 0.7960
Bi 0.5281 0.2500 0.4438
O 0.7684 0.0368 0.7500
O 0.2200 0.5233 0.4767
O 0.7682 0.5996 0.7960
Cd 0.8910 0.3910 0.1090
Cd 0.1090 0.6090 0.8910
O 0.3267 0.0233 0.9767
O 0.8034 0.9767 0.4767
O 0.2316 0.9632 0.2500
O 0.2318 0.4004 0.2040
O 0.7682 0.2040 0.4004
Bi 0.4719 0.4438 0.2500
O 0.3314 0.2960 0.4004
O 0.9816 0.2500 0.5368
O 0.6686 0.7040 0.5996
Cd 0.8910 0.8910 0.6090
Bi 0.2219 0.2500 0.0562
O 0.5353 0.7040 0.9004
O 0.7800 0.4767 0.5233
Bi 0.8959 0.1116 0.8884
O 0.6686 0.4004 0.2960
O 0.2316 0.7500 0.0368
O 0.9357 0.2040 0.0996



Computed, not measured: ReSnOs2 after structural relaxation at the GGA-PBE level of DFT.

The value obtained for the calculated density is 17.861 g/cm³. The crystal system is cubic. The electronic total energy comes out at -9.03 eV per atom. The space group is F-43m.

abc: 4.4833 4.4833 4.4833
angles: 60.00 60.00 60.00
Fractional coordinates of all 4 atoms:
Re 0.2500 0.2500 0.2500
Os 0.7500 0.7500 0.7500
Sn 0.5000 0.5000 0.5000
Os 0.0000 0.0000 0.0000



Computed, not measured: Li2Ni2C after structural relaxation at the GGA-PBE level of DFT.

The value obtained for the calculated density is 4.265 g/cm³. The crystal system is tetragonal. The electronic total energy comes out at -4.89 eV per atom. The space group is P4/mmm.

abc: 3.6935 3.6935 4.0890
angles: 90.00 90.00 90.00
Fractional coordinates of all 5 atoms:
Li 0.0000 0.0000 0.5000
Ni 0.0000 0.5000 0.0000
Ni 0.5000 0.0000 0.0000
C 0.0000 0.0000 0.0000
Li 0.5000 0.5000 0.5000